# V4HSe5 | the Alexandria database | PBE-GGA | relaxed
# - magnetic moment (μB/cell) = 0.0
# - total energy (eV/atom) = -6.21
data_V4HSe5
_space_group_name_H-M_alt 'C 1 2/m 1'
_space_group_IT_number 12
_cell_length_a 15.212
_cell_length_b 3.160
_cell_length_c 7.031
_cell_angle_alpha 90.00
_cell_angle_beta 103.34
_cell_angle_gamma 90.00
loop_
_space_group_symop_operation_xyz
'x,y,z'
'-x,-y,-z'
'-x,y,-z'
'x,-y,z'
'x+1/2,y+1/2,z'
'-x+1/2,-y+1/2,-z'
'-x+1/2,y+1/2,-z'
'x+1/2,-y+1/2,z'
loop_
_atom_site_label
_atom_site_fract_x
_atom_site_fract_y
_atom_site_fract_z
_atom_site_occupancy
V1 0.003 0.000 0.291 1
V2 0.130 0.500 0.567 1
H1 0.000 0.500 0.500 1
Se1 0.000 0.500 0.000 1
Se2 0.160 0.000 0.838 1
Se3 0.172 0.000 0.334 1

# VHSe | the Alexandria database | PBE-GGA | relaxed
# - magnetic moment (μB/cell) = 0.0
# - total energy (eV/atom) = -5.71
data_VHSe
_space_group_name_H-M_alt 'P 1'
_space_group_IT_number 1
_cell_length_a 3.401
_cell_length_b 3.873
_cell_length_c 8.906
_cell_angle_alpha 101.89
_cell_angle_beta 99.99
_cell_angle_gamma 90.06
loop_
_space_group_symop_operation_xyz
'x,y,z'
loop_
_atom_site_label
_atom_site_fract_x
_atom_site_fract_y
_atom_site_fract_z
_atom_site_occupancy
V1 0.000 0.000 0.000 1
V2 0.485 0.484 0.967 1
H1 0.691 0.194 0.508 1
H2 0.796 0.288 0.459 1
Se1 0.083 0.586 0.181 1
Se2 0.403 0.898 0.786 1

# VHSe | the Alexandria database | PBE-GGA | relaxed
# - magnetic moment (μB/cell) = 0.7
# - total energy (eV/atom) = -5.72
data_VHSe
_space_group_name_H-M_alt 'P -1'
_space_group_IT_number 2
_cell_length_a 3.059
_cell_length_b 3.060
_cell_length_c 8.395
_cell_angle_alpha 89.58
_cell_angle_beta 89.02
_cell_angle_gamma 90.00
loop_
_space_group_symop_operation_xyz
'x,y,z'
'-x,-y,-z'
loop_
_atom_site_label
_atom_site_fract_x
_atom_site_fract_y
_atom_site_fract_z
_atom_site_occupancy
V1 0.244 0.247 0.134 1
H1 0.250 0.750 0.000 1
Se1 0.264 0.256 0.704 1

# V2HSe | the Alexandria database | PBE-GGA | relaxed
# - relative energy among the computed polymorphs (meV/atom) = 207.4
# - magnetic moment (μB/cell) = 6.6
# - total energy (eV/atom) = -6.01
data_V2HSe
_space_group_name_H-M_alt 'F m -3 m'
_space_group_IT_number 225
_space_group_name_Hall '-F 4 2 3'
_cell_length_a 5.792
_cell_length_b 5.792
_cell_length_c 5.792
_cell_angle_alpha 90.00
_cell_angle_beta 90.00
_cell_angle_gamma 90.00
loop_
_atom_site_label
_atom_site_fract_x
_atom_site_fract_y
_atom_site_fract_z
_atom_site_occupancy
V1 0.250 0.250 0.250 1
H1 0.000 0.000 0.000 1
Se1 0.000 0.000 0.500 1

The highest magnetic moment belongs to which entry? V2HSe

Look up the total energy of the third one. -5.72 eV/atom

total energy of number 1 (V4HSe5)? -6.21 eV/atom